# Tb2NdSmDy (PBE, relaxed)
data_Tb2NdSmDy
_symmetry_space_group_name_H-M 'C m c m'
_symmetry_Int_Tables_number 63
_symmetry_space_group_name_Hall '-C 2c 2'
_cell_length_a 8.442
_cell_length_b 11.595
_cell_length_c 7.180
_cell_angle_alpha 90.00
_cell_angle_beta 90.00
_cell_angle_gamma 90.00
loop_
_atom_site_label
_atom_site_type_symbol
_atom_site_fract_x
_atom_site_fract_y
_atom_site_fract_z
Tb1 Tb 0.188 0.000 0.000
Nd1 Nd 0.000 0.228 0.250
Sm1 Sm 0.000 0.496 0.250
Dy1 Dy 0.000 0.226 0.750
# Crystal system: orthorhombic
# N(E_F), states/eV/f.u.: 8.39
# Formation enthalpy at 0 K, eV/atom: 0.386
# Magnetic moment, μB/f.u.: 0.00